1.
Zn2Sb2W: optimized geometry, GGA-PBE.

Values from the calculation:
Formation energy from raw total energies   61 kJ per mole of atoms
E_tot   -4.114 eV/atom

Lattice parameters (Å, degrees): 7.1388 7.1388 3.7503 90.00 90.00 90.00
Last column: nearest neighbours and their distance in Å.
Atoms (fractional coordinates):
Zn 0.1267 0.3733 0.0000  1 Zn 2.56, 2 Sb 2.70, 2 W 2.81
Zn 0.3733 0.8733 0.0000  1 Zn 2.56, 2 Sb 2.70, 2 W 2.81
Zn 0.6267 0.1267 0.0000  1 Zn 2.56, 2 Sb 2.70, 2 W 2.81
Zn 0.8733 0.6267 0.0000  1 Zn 2.56, 2 Sb 2.70, 2 W 2.81
Sb 0.1803 0.6803 0.5000  6 Zn 2.70-2.91
Sb 0.3197 0.1803 0.5000  6 Zn 2.70-2.91
Sb 0.6803 0.8197 0.5000  6 Zn 2.70-2.91
Sb 0.8197 0.3197 0.5000  6 Zn 2.70-2.91
W 0.0000 0.0000 0.0000  4 Zn 2.81
W 0.5000 0.5000 0.0000  4 Zn 2.81


2.
Zn2SbW2: optimized geometry, GGA-PBE.

Values from the calculation:
Formation energy from raw total energies   52 kJ per mole of atoms
E_tot   -5.980 eV/atom

Lattice parameters (Å, degrees): 6.9305 6.9305 3.7365 90.00 90.00 90.00
Last column: nearest neighbours and their distance in Å.
Atoms (fractional coordinates):
Zn 0.1651 0.3349 0.0000  6 W 2.76-2.77
Zn 0.3349 0.8349 0.0000  6 W 2.76-2.77
Zn 0.6651 0.1651 0.0000  6 W 2.76-2.77
Zn 0.8349 0.6651 0.0000  6 W 2.76-2.77
Sb 0.0000 0.0000 0.5000  4 W 2.73
Sb 0.5000 0.5000 0.5000  4 W 2.73
W 0.1270 0.6270 0.5000  1 W 2.49, 2 Sb 2.73, 6 Zn 2.76-2.77
W 0.3730 0.1270 0.5000  1 W 2.49, 2 Sb 2.73, 6 Zn 2.76-2.77
W 0.6270 0.8730 0.5000  1 W 2.49, 2 Sb 2.73, 6 Zn 2.76-2.77
W 0.8730 0.3730 0.5000  1 W 2.49, 2 Sb 2.73, 6 Zn 2.76-2.77


3.
ZnSbW: optimized geometry, GGA-PBE.

Values from the calculation:
Formation energy from raw total energies   99 kJ per mole of atoms
E_tot   -5.086 eV/atom

Lattice parameters (Å, degrees): 4.4728 4.4728 4.4728 60.00 60.00 60.00
Last column: nearest neighbours and their distance in Å.
Atoms (fractional coordinates):
Zn 0.0000 0.0000 0.0000  4 Sb 2.74
Sb 0.2500 0.2500 0.2500  4 W 2.74, 4 Zn 2.74
W 0.5000 0.5000 0.5000  4 Sb 2.74


4.
ZnSbW: optimized geometry, GGA-PBE.

Values from the calculation:
Formation energy from raw total energies   59 kJ per mole of atoms
E_tot   -5.506 eV/atom

Lattice parameters (Å, degrees): 7.1872 7.1872 7.1872 155.59 155.59 34.80
Last column: nearest neighbours and their distance in Å.
Atoms (fractional coordinates):
Zn 0.0000 0.0000 0.0000  4 W 2.72, 4 Zn 3.04
Sb 0.7345 0.7345 0.0000  4 W 2.92, 4 Sb 3.04
W 0.3784 0.3784 0.0000  4 Zn 2.72, 4 Sb 2.92, 4 W 3.04


5.
ZnSb3W: optimized geometry, GGA-PBE.

Values from the calculation:
Formation energy from raw total energies   65 kJ per mole of atoms
E_tot   -4.647 eV/atom

Lattice parameters (Å, degrees): 5.2756 5.2756 5.2756 90.00 90.00 90.00
Last column: nearest neighbours and their distance in Å.
Atoms (fractional coordinates):
Zn 0.0000 0.0000 0.0000  12 Sb 3.73
Sb 0.0000 0.5000 0.5000  2 W 2.64
Sb 0.5000 0.0000 0.5000  2 W 2.64
Sb 0.5000 0.5000 0.0000  2 W 2.64
W 0.5000 0.5000 0.5000  6 Sb 2.64


6.
ZnSbW: optimized geometry, GGA-PBE.

Values from the calculation:
Formation energy from raw total energies   36 kJ per mole of atoms
E_tot   -5.746 eV/atom

Lattice parameters (Å, degrees): 5.0554 5.0554 5.0554 140.29 140.29 57.41
Last column: nearest neighbours and their distance in Å.
Atoms (fractional coordinates):
Zn 0.0000 0.0000 0.0000  5 W 2.81-3.03, 5 Sb 2.87-2.89
Sb 0.6762 0.6762 0.0000  5 W 2.84-2.97, 5 Zn 2.87-2.89
W 0.3414 0.3414 0.0000  5 Zn 2.81-3.03, 5 Sb 2.84-2.97


7.
ZnSbW: optimized geometry, GGA-PBE.

Values from the calculation:
Formation energy from raw total energies   53 kJ per mole of atoms
E_tot   -5.567 eV/atom

Lattice parameters (Å, degrees): 3.1097 3.1097 6.8090 90.00 90.00 120.00
Last column: nearest neighbours and their distance in Å.
Atoms (fractional coordinates):
Zn 0.0000 0.0000 0.0000  3 W 2.73
Sb 0.6667 0.3333 0.3777  3 W 2.83, 6 Sb 3.11, 3 Zn 3.14
W 0.3333 0.6667 0.6985  3 Zn 2.73, 3 Sb 2.83


8.
ZnSb2W: optimized geometry, GGA-PBE.

Values from the calculation:
Formation energy from raw total energies   52 kJ per mole of atoms
E_tot   -5.078 eV/atom

Lattice parameters (Å, degrees): 4.9515 4.9515 5.3624 96.85 96.85 38.78
Last column: nearest neighbours and their distance in Å.
Atoms (fractional coordinates):
Zn 0.0000 0.0000 0.0000  2 Sb 2.70
Sb 0.2252 0.2252 0.7311  1 Zn 2.70, 3 W 2.83-2.99
Sb 0.7748 0.7748 0.2689  1 Zn 2.70, 3 W 2.83-2.99
W 0.5000 0.5000 0.5000  6 Sb 2.83-2.99, 4 Zn 3.15


9.
ZnSb2W: optimized geometry, GGA-PBE.

Values from the calculation:
Formation energy from raw total energies   75 kJ per mole of atoms
E_tot   -4.842 eV/atom

Lattice parameters (Å, degrees): 3.5084 4.5264 5.0916 90.00 90.00 90.00
Last column: nearest neighbours and their distance in Å.
Atoms (fractional coordinates):
Zn 0.0000 0.0000 0.0000  4 Sb 2.86, 4 W 3.09
Sb 0.0000 0.5000 0.5000  4 W 2.86, 4 Sb 3.09
Sb 0.5000 0.5000 0.0000  4 Zn 2.86, 4 Sb 3.09
W 0.5000 0.0000 0.5000  4 Sb 2.86, 4 Zn 3.09


10.
Zn3SbW: optimized geometry, GGA-PBE.

Values from the calculation:
Formation energy from raw total energies   105 kJ per mole of atoms
E_tot   -3.090 eV/atom

Lattice parameters (Å, degrees): 4.9101 4.9101 4.9101 90.00 90.00 90.00
Last column: nearest neighbours and their distance in Å.
Atoms (fractional coordinates):
Zn 0.0000 0.0000 0.5000  2 W 2.46
Zn 0.0000 0.5000 0.0000  2 W 2.46
Zn 0.5000 0.0000 0.0000  2 W 2.46
Sb 0.5000 0.5000 0.5000  12 Zn 3.47
W 0.0000 0.0000 0.0000  6 Zn 2.46


11.
ZnSbW: optimized geometry, GGA-PBE.

Values from the calculation:
Formation energy from raw total energies   62 kJ per mole of atoms
E_tot   -5.476 eV/atom

Lattice parameters (Å, degrees): 7.4608 7.2866 2.9675 81.71 75.11 23.18
Last column: nearest neighbours and their distance in Å.
Atoms (fractional coordinates):
Zn 0.0000 0.0000 0.0000  2 W 2.65, 4 Zn 2.97
Sb 0.2940 0.2940 0.7060  2 W 2.80, 4 Sb 2.97
W 0.6399 0.6399 0.3601  2 Zn 2.65, 2 Sb 2.80, 4 W 2.97


12.
Zn2Sb2W: optimized geometry, GGA-PBE.

Values from the calculation:
Formation energy from raw total energies   114 kJ per mole of atoms
E_tot   -3.565 eV/atom

Lattice parameters (Å, degrees): 7.3291 7.3291 7.3291 148.24 148.24 45.54
Last column: nearest neighbours and their distance in Å.
Atoms (fractional coordinates):
Zn 0.0845 0.0845 0.0000  1 Zn 2.28
Zn 0.9155 0.9155 0.0000  1 Zn 2.28
Sb 0.2500 0.7500 0.5000  4 Sb 2.84, 4 Zn 3.00
Sb 0.7500 0.2500 0.5000  4 Sb 2.84, 4 Zn 3.00
W 0.5000 0.5000 0.0000  8 Zn 3.06


13.
ZnSb2W: optimized geometry, GGA-PBE.

Values from the calculation:
Formation energy from raw total energies   53 kJ per mole of atoms
E_tot   -5.067 eV/atom

Lattice parameters (Å, degrees): 3.0856 3.0856 10.0653 90.00 90.00 109.16
Last column: nearest neighbours and their distance in Å.
Atoms (fractional coordinates):
Zn 0.0000 0.0000 0.0000  4 Zn 3.09, 4 Sb 3.38
Sb 0.5000 0.5000 0.2847  2 W 2.81, 4 Sb 3.09
Sb 0.5000 0.5000 0.7153  2 W 2.81, 4 Sb 3.09
W 0.0000 0.0000 0.5000  4 Sb 2.81, 4 W 3.09


14.
ZnSb2W: optimized geometry, GGA-PBE.

Values from the calculation:
Formation energy from raw total energies   42 kJ per mole of atoms
E_tot   -5.180 eV/atom

Lattice parameters (Å, degrees): 2.9777 3.7832 7.9302 90.00 90.00 90.00
Last column: nearest neighbours and their distance in Å.
Atoms (fractional coordinates):
Zn 0.0000 0.0000 0.0000  4 W 2.72, 5 Sb 2.94-3.03, 2 Zn 2.98
Sb 0.0000 0.0000 0.6185  4 W 2.98, 2 Sb 2.98, 1 Zn 3.03
Sb 0.5000 0.5000 0.2131  4 Zn 2.94, 1 W 2.96, 2 Sb 2.98
W 0.5000 0.5000 0.8393  4 Zn 2.72, 5 Sb 2.96-2.98, 2 W 2.98


15.
ZnSb2W: optimized geometry, GGA-PBE.

Values from the calculation:
Formation energy from raw total energies   58 kJ per mole of atoms
E_tot   -5.021 eV/atom

Lattice parameters (Å, degrees): 5.1506 5.1506 5.1506 135.73 121.78 75.95
Last column: nearest neighbours and their distance in Å.
Atoms (fractional coordinates):
Zn 0.0000 0.0000 0.0000  4 Sb 2.70
Sb 0.2319 0.7319 0.5000  2 Zn 2.70, 2 W 2.92
Sb 0.7681 0.2681 0.5000  2 Zn 2.70, 2 W 2.92
W 0.5000 0.5000 0.0000  8 Sb 2.92-3.13, 4 Zn 3.17